First-principles (PBE-GGA) data for crystalline ZrIn2Co at its relaxed geometry, as listed in Alexandria via LeMat-Bulk.

The calculated density is 7.889 g cm⁻³. The calculation puts the total energy at -5.355 eV per atom. Its size of the total moment is 0.9 μB per formula unit. Its space group is No. 99. The density of states at the Fermi level comes out at 2.38 states/eV/f.u. Its calculated volume is 80 Å³/cell. The formation energy is -0.072 eV/atom.

a = 3.1790 Å, b = 3.1790 Å, c = 7.9108 Å
α = 90.00°, β = 90.00°, γ = 90.02°
Closest atoms and distances in Å follow each position.
Sites, in units of the cell vectors:
Co (0.5000, 0.5000, 0.7377)  4 Zr 2.69, 4 In 2.80
In (0.0000, 0.0000, 0.9490)  4 Co 2.80
In (0.5000, 0.5000, 0.2613)  8 In 3.18-3.34, 4 Zr 3.21-3.22
Zr (0.0000, 0.0000, 0.5519)  4 Co 2.69

First-principles (PBE-GGA) data for crystalline Ta6CdS12 at its relaxed geometry, as listed in Alexandria via LeMat-Bulk.

The calculated density is 7.047 g cm⁻³. The calculation puts the total energy at -6.920 eV per atom. Its size of the total moment is 0.0 μB per formula unit. Its space group is No. 166. The calculation puts the uncorrected formation energy at -0.522 eV per atom. The density of states at the Fermi level comes out at 13.18 states/eV/f.u. Its calculated volume is 373 Å³/cell.

a = 7.4769 Å, b = 7.4769 Å, c = 7.4769 Å
α = 103.99°, β = 103.99°, γ = 103.99°
Closest atoms and distances in Å follow each position.
Sites, in units of the cell vectors:
Ta (0.6389, 0.2475, 0.2475)  5 S 2.38-2.58
Ta (0.2475, 0.2475, 0.6389)  5 S 2.38-2.58
Ta (0.2475, 0.6389, 0.2475)  5 S 2.38-2.58
Ta (0.7525, 0.7525, 0.3611)  5 S 2.38-2.58
Ta (0.3611, 0.7525, 0.7525)  5 S 2.38-2.58
Ta (0.7525, 0.3611, 0.7525)  5 S 2.38-2.58
Cd (0.0000, 0.0000, 0.0000)  18 S 3.89-4.03, 6 Ta 4.16
S (0.8729, 0.1271, 0.5000)  4 Ta 2.58-2.72
S (0.8237, 0.5423, 0.5423)  3 Ta 2.38-2.52
S (0.5423, 0.5423, 0.8237)  3 Ta 2.38-2.52
S (0.4577, 0.1763, 0.4577)  3 Ta 2.38-2.52
S (0.4577, 0.4577, 0.1763)  3 Ta 2.38-2.52
S (0.1763, 0.4577, 0.4577)  3 Ta 2.38-2.52
S (0.1271, 0.5000, 0.8729)  4 Ta 2.58-2.72
S (0.5000, 0.8729, 0.1271)  4 Ta 2.58-2.72
S (0.1271, 0.8729, 0.5000)  4 Ta 2.58-2.72
S (0.8729, 0.5000, 0.1271)  4 Ta 2.58-2.72
S (0.5000, 0.1271, 0.8729)  4 Ta 2.58-2.72
S (0.5423, 0.8237, 0.5423)  3 Ta 2.38-2.52

First-principles (PBE-GGA) data for crystalline Rb3Ac3SbSe8 at its relaxed geometry, as listed in Alexandria via LeMat-Bulk.

The calculated density is 4.901 g cm⁻³. The calculation puts the total energy at -4.591 eV per atom. Its size of the total moment is 0.0 μB per formula unit. Its space group is No. 166. The calculation puts the uncorrected formation energy at -1.443 eV per atom. The density of states at the Fermi level comes out at 2.78 states/eV/f.u. Its calculated volume is 573 Å³/cell.

a = 8.9888 Å, b = 8.9889 Å, c = 9.6941 Å
α = 117.63°, β = 90.00°, γ = 120.00°
Closest atoms and distances in Å follow each position.
Sites, in units of the cell vectors:
Rb (0.0000, 0.0000, 0.0000)  6 Se 3.53-3.54
Rb (0.0000, 0.5000, 0.0000)  6 Se 3.53
Rb (0.5000, 0.5000, 0.0000)  6 Se 3.53
Ac (0.5000, 0.0000, 0.5000)  6 Se 3.10-3.14
Ac (0.5000, 0.5000, 0.5000)  6 Se 3.10-3.14
Ac (0.0000, 0.5000, 0.5000)  6 Se 3.10-3.14
Sb (0.0000, 0.0000, 0.5000)  6 Se 2.85
Se (0.2640, 0.5279, 0.2920)  3 Ac 3.10
Se (0.7360, 0.4721, 0.7080)  3 Ac 3.10
Se (0.7832, 0.5663, 0.3063)  1 Sb 2.85, 2 Ac 3.14
Se (0.2168, 0.4337, 0.6937)  1 Sb 2.85, 2 Ac 3.14
Se (0.7832, 0.0231, 0.3064)  1 Sb 2.85, 2 Ac 3.14
Se (0.2168, 0.9769, 0.6936)  1 Sb 2.85, 2 Ac 3.14
Se (0.2400, 0.0231, 0.3064)  1 Sb 2.85, 2 Ac 3.14
Se (0.7600, 0.9769, 0.6936)  1 Sb 2.85, 2 Ac 3.14

First-principles (PBE-GGA) data for crystalline NaY2Mn2 at its relaxed geometry, as listed in Alexandria via LeMat-Bulk.

The calculated density is 4.322 g cm⁻³. The distance to the lowest polymorph of the same formula comes out at 96 meV/atom. The calculation puts the total energy at -6.104 eV per atom. Its size of the total moment is 0.6 μB per formula unit. Its space group is No. 139. The density of states at the Fermi level comes out at 6.73 states/eV/f.u. Its calculated volume is 119 Å³/cell. The formation energy is 0.414 eV/atom.

a = 3.2880 Å, b = 3.2880 Å, c = 11.2845 Å
α = 81.62°, β = 81.62°, γ = 90.00°
Closest atoms and distances in Å follow each position.
Sites, in units of the cell vectors:
Y (0.3595, 0.3595, 0.2809)  4 Mn 2.92
Y (0.6405, 0.6405, 0.7191)  4 Mn 2.92
Na (0.0000, 0.0000, 0.0000)  4 Na 3.29
Mn (0.7500, 0.2500, 0.5000)  4 Mn 2.32
Mn (0.2500, 0.7500, 0.5000)  4 Mn 2.32

First-principles (PBE-GGA) data for crystalline DyAlTl2Se4 at its relaxed geometry, as listed in Alexandria via LeMat-Bulk.

The calculated density is 7.027 g cm⁻³. The calculation puts the total energy at -4.283 eV per atom. Its size of the total moment is 0.0 μB per formula unit. Its space group is No. 74. The calculation puts the uncorrected formation energy at -0.906 eV per atom. The density of states at the Fermi level comes out at 0.69 states/eV/f.u. Its calculated volume is 432 Å³/cell.

a = 8.4942 Å, b = 8.4942 Å, c = 8.6632 Å
α = 120.66°, β = 120.66°, γ = 90.25°
Closest atoms and distances in Å follow each position.
Sites, in units of the cell vectors:
Dy (0.0000, 0.5000, 0.0000)  6 Se 2.89-2.93
Dy (0.0000, 0.5000, 0.5000)  6 Se 2.89-2.93
Al (0.5000, 0.5000, 0.5000)  6 Se 2.70-2.71
Al (0.0000, 0.0000, 0.0000)  6 Se 2.70-2.71
Tl (0.5000, 0.0000, 0.0000)  6 Se 3.14-3.15
Tl (0.5000, 0.0000, 0.5000)  6 Se 3.14-3.15
Tl (0.0000, 0.0000, 0.5000)  6 Se 3.31-3.33
Tl (0.5000, 0.5000, 0.0000)  6 Se 3.31-3.33
Se (0.2013, 0.7541, 0.9777)  1 Al 2.70, 2 Dy 2.89
Se (0.7459, 0.2987, 0.5223)  1 Al 2.70, 2 Dy 2.89
Se (0.2541, 0.7013, 0.4777)  1 Al 2.70, 2 Dy 2.89
Se (0.7987, 0.2459, 0.0223)  1 Al 2.70, 2 Dy 2.89
Se (0.7596, 0.7406, 0.9517)  2 Al 2.71, 1 Dy 2.93
Se (0.7594, 0.7404, 0.5483)  2 Al 2.71, 1 Dy 2.93
Se (0.2406, 0.2596, 0.4517)  2 Al 2.71, 1 Dy 2.93
Se (0.2404, 0.2594, 0.0483)  2 Al 2.71, 1 Dy 2.93

First-principles (PBE-GGA) data for crystalline Mg3W at its relaxed geometry, as listed in Alexandria via LeMat-Bulk.

The calculated density is 4.927 g cm⁻³. The distance to the lowest polymorph of the same formula comes out at 230 meV/atom. The calculation puts the total energy at -3.919 eV per atom. Its size of the total moment is 0.0 μB per formula unit. Its space group is No. 63. The density of states at the Fermi level comes out at 2.18 states/eV/f.u. Its calculated volume is 173 Å³/cell. The formation energy is 0.515 eV/atom.

a = 6.1115 Å, b = 6.1115 Å, c = 4.6399 Å
α = 90.00°, β = 90.00°, γ = 93.04°
Closest atoms and distances in Å follow each position.
Sites, in units of the cell vectors:
Mg (0.0974, 0.0974, 0.7500)  1 W 2.74, 2 Mg 2.84
Mg (0.9026, 0.9026, 0.2500)  1 W 2.74, 2 Mg 2.84
Mg (0.8787, 0.5425, 0.7500)  4 Mg 2.82-3.09, 3 W 2.84-2.98
Mg (0.1213, 0.4575, 0.2500)  4 Mg 2.82-3.09, 3 W 2.84-2.98
Mg (0.5425, 0.8787, 0.7500)  4 Mg 2.82-3.09, 3 W 2.84-2.98
Mg (0.4575, 0.1213, 0.2500)  4 Mg 2.82-3.09, 3 W 2.84-2.98
W (0.5764, 0.5764, 0.2500)  2 W 2.65, 3 Mg 2.74-2.84
W (0.4236, 0.4236, 0.7500)  2 W 2.65, 3 Mg 2.74-2.84

Please write out number 2 again, unchanged.
First-principles (PBE-GGA) data for crystalline Ta6CdS12 at its relaxed geometry, as listed in Alexandria via LeMat-Bulk.

The calculated density is 7.047 g cm⁻³. The calculation puts the total energy at -6.920 eV per atom. Its size of the total moment is 0.0 μB per formula unit. Its space group is No. 166. The calculation puts the uncorrected formation energy at -0.522 eV per atom. The density of states at the Fermi level comes out at 13.18 states/eV/f.u. Its calculated volume is 373 Å³/cell.

a = 7.4769 Å, b = 7.4769 Å, c = 7.4769 Å
α = 103.99°, β = 103.99°, γ = 103.99°
Closest atoms and distances in Å follow each position.
Sites, in units of the cell vectors:
Ta (0.6389, 0.2475, 0.2475)  5 S 2.38-2.58
Ta (0.2475, 0.2475, 0.6389)  5 S 2.38-2.58
Ta (0.2475, 0.6389, 0.2475)  5 S 2.38-2.58
Ta (0.7525, 0.7525, 0.3611)  5 S 2.38-2.58
Ta (0.3611, 0.7525, 0.7525)  5 S 2.38-2.58
Ta (0.7525, 0.3611, 0.7525)  5 S 2.38-2.58
Cd (0.0000, 0.0000, 0.0000)  18 S 3.89-4.03, 6 Ta 4.16
S (0.8729, 0.1271, 0.5000)  4 Ta 2.58-2.72
S (0.8237, 0.5423, 0.5423)  3 Ta 2.38-2.52
S (0.5423, 0.5423, 0.8237)  3 Ta 2.38-2.52
S (0.4577, 0.1763, 0.4577)  3 Ta 2.38-2.52
S (0.4577, 0.4577, 0.1763)  3 Ta 2.38-2.52
S (0.1763, 0.4577, 0.4577)  3 Ta 2.38-2.52
S (0.1271, 0.5000, 0.8729)  4 Ta 2.58-2.72
S (0.5000, 0.8729, 0.1271)  4 Ta 2.58-2.72
S (0.1271, 0.8729, 0.5000)  4 Ta 2.58-2.72
S (0.8729, 0.5000, 0.1271)  4 Ta 2.58-2.72
S (0.5000, 0.1271, 0.8729)  4 Ta 2.58-2.72
S (0.5423, 0.8237, 0.5423)  3 Ta 2.38-2.52

- Number 4 is which compound?
  NaY2Mn2

Repeat the third record exactly.
First-principles (PBE-GGA) data for crystalline Rb3Ac3SbSe8 at its relaxed geometry, as listed in Alexandria via LeMat-Bulk.

The calculated density is 4.901 g cm⁻³. The calculation puts the total energy at -4.591 eV per atom. Its size of the total moment is 0.0 μB per formula unit. Its space group is No. 166. The calculation puts the uncorrected formation energy at -1.443 eV per atom. The density of states at the Fermi level comes out at 2.78 states/eV/f.u. Its calculated volume is 573 Å³/cell.

a = 8.9888 Å, b = 8.9889 Å, c = 9.6941 Å
α = 117.63°, β = 90.00°, γ = 120.00°
Closest atoms and distances in Å follow each position.
Sites, in units of the cell vectors:
Rb (0.0000, 0.0000, 0.0000)  6 Se 3.53-3.54
Rb (0.0000, 0.5000, 0.0000)  6 Se 3.53
Rb (0.5000, 0.5000, 0.0000)  6 Se 3.53
Ac (0.5000, 0.0000, 0.5000)  6 Se 3.10-3.14
Ac (0.5000, 0.5000, 0.5000)  6 Se 3.10-3.14
Ac (0.0000, 0.5000, 0.5000)  6 Se 3.10-3.14
Sb (0.0000, 0.0000, 0.5000)  6 Se 2.85
Se (0.2640, 0.5279, 0.2920)  3 Ac 3.10
Se (0.7360, 0.4721, 0.7080)  3 Ac 3.10
Se (0.7832, 0.5663, 0.3063)  1 Sb 2.85, 2 Ac 3.14
Se (0.2168, 0.4337, 0.6937)  1 Sb 2.85, 2 Ac 3.14
Se (0.7832, 0.0231, 0.3064)  1 Sb 2.85, 2 Ac 3.14
Se (0.2168, 0.9769, 0.6936)  1 Sb 2.85, 2 Ac 3.14
Se (0.2400, 0.0231, 0.3064)  1 Sb 2.85, 2 Ac 3.14
Se (0.7600, 0.9769, 0.6936)  1 Sb 2.85, 2 Ac 3.14